[1]
Here is an optimized crystal structure of AlTcAs from Alexandria via LeMat-Bulk. Energies are from PBE.

Cell lengths 6.739, 6.739, 6.739 Å; angles 37.64, 37.64, 37.64 degrees
Fractional positions:
Al  0.130  0.130  0.130
Al  0.870  0.870  0.870
Tc  0.436  0.436  0.436
Tc  0.564  0.564  0.564
As  0.287  0.287  0.287
As  0.713  0.713  0.713

## Properties
Energy relative to the lowest polymorph listed for this composition = 220 meV/atom
Symmetry = R-3m (166)
ρ = 6.5 g/cm3
DFT formation energy = -19 meV per atom
Total magnetization = 0.00 Bohr magnetons per cell

***

[2]
Here is an optimized crystal structure of AlTcAs2 from Alexandria via LeMat-Bulk. Energies are from PBE.

Cell lengths 2.908, 2.908, 9.484 Å; angles 90.00, 90.00, 117.66 degrees
Fractional positions:
Al  0.000  0.000  0.000
Tc  0.000  0.000  0.500
As  0.500  0.500  0.284
As  0.500  0.500  0.716

## Properties
Symmetry = Cmmm (65)
ρ = 6.4 g/cm3
DFT formation energy = 238 meV per atom
Total magnetization = 0.00 Bohr magnetons per cell

***

[3]
Here is an optimized crystal structure of AlTc2As from Alexandria via LeMat-Bulk. Energies are from PBE.

Cell lengths 2.940, 2.940, 7.462 Å; angles 90.00, 90.00, 90.00 degrees
Fractional positions:
Al  0.000  0.000  0.000
Tc  0.000  0.000  0.562
Tc  0.500  0.500  0.782
As  0.500  0.500  0.339

## Properties
Energy relative to the lowest polymorph listed for this composition = 95 meV/atom
Symmetry = P4mm (99)
ρ = 7.7 g/cm3
DFT formation energy = -116 meV per atom
Total magnetization = 0.00 Bohr magnetons per cell

***

[4]
Here is an optimized crystal structure of AlTcAs from Alexandria via LeMat-Bulk. Energies are from PBE.

Cell lengths 6.728, 6.466, 2.916 Å; angles 82.33, 72.24, 25.43 degrees
Fractional positions:
Al  0.000  0.000  0.000
Tc  0.341  0.341  0.659
As  0.687  0.687  0.313

## Properties
Energy relative to the lowest polymorph listed for this composition = 379 meV/atom
Symmetry = Fmm2 (42)
ρ = 6.8 g/cm3
DFT formation energy = 140 meV per atom
Total magnetization = 0.00 Bohr magnetons per cell

***

[5]
Here is an optimized crystal structure of AlTcAs2 from Alexandria via LeMat-Bulk. Energies are from PBE.

Cell lengths 4.484, 4.484, 6.066 Å; angles 105.70, 105.70, 40.94 degrees
Fractional positions:
Al  0.000  0.000  0.000
Tc  0.763  0.763  0.198
As  0.238  0.238  0.837
As  0.506  0.506  0.357

## Properties
Symmetry = Cm (8)
ρ = 6.0 g/cm3
DFT formation energy = -54 meV per atom
Total magnetization = 0.00 Bohr magnetons per cell

***

[6]
Here is an optimized crystal structure of AlTcAs2 from Alexandria via LeMat-Bulk. Energies are from PBE.

Cell lengths 3.065, 3.065, 7.050 Å; angles 90.00, 90.00, 90.00 degrees
Fractional positions:
Al  0.000  0.000  0.000
Tc  0.000  0.000  0.500
As  0.500  0.500  0.284
As  0.500  0.500  0.716

## Properties
Symmetry = P4/mmm (123)
ρ = 6.9 g/cm3
DFT formation energy = -42 meV per atom
Total magnetization = 0.00 Bohr magnetons per cell

***

[7]
Here is an optimized crystal structure of AlTcAs2 from Alexandria via LeMat-Bulk. Energies are from PBE.

Cell lengths 4.491, 4.491, 4.491 Å; angles 60.00, 60.00, 60.00 degrees
Fractional positions:
Al  0.000  0.000  0.000
Tc  0.750  0.750  0.750
As  0.250  0.250  0.250
As  0.500  0.500  0.500

## Properties
Symmetry = F-43m (216)
ρ = 7.1 g/cm3
DFT formation energy = 347 meV per atom
Total magnetization = 0.00 Bohr magnetons per cell

***

[8]
Here is an optimized crystal structure of AlTc2As from Alexandria via LeMat-Bulk. Energies are from PBE.

Cell lengths 3.050, 3.050, 6.176 Å; angles 90.00, 90.00, 90.00 degrees
Fractional positions:
Al  0.000  0.000  0.000
Tc  0.500  0.500  0.260
Tc  0.500  0.500  0.740
As  0.000  0.000  0.500

## Properties
Energy relative to the lowest polymorph listed for this composition = 26 meV/atom
Symmetry = P4/mmm (123)
ρ = 8.6 g/cm3
DFT formation energy = -184 meV per atom
Total magnetization = 0.00 Bohr magnetons per cell

***

[9]
Here is an optimized crystal structure of AlTc2As from Alexandria via LeMat-Bulk. Energies are from PBE.

Cell lengths 2.909, 2.909, 8.079 Å; angles 90.00, 90.00, 116.88 degrees
Fractional positions:
Al  0.000  0.000  0.000
Tc  0.500  0.500  0.260
Tc  0.500  0.500  0.740
As  0.000  0.000  0.500

## Properties
Energy relative to the lowest polymorph listed for this composition = 281 meV/atom
Symmetry = Cmmm (65)
ρ = 8.1 g/cm3
DFT formation energy = 71 meV per atom
Total magnetization = 0.00 Bohr magnetons per cell

***

[10]
Here is an optimized crystal structure of AlTcAs2 from Alexandria via LeMat-Bulk. Energies are from PBE.

Cell lengths 4.501, 4.501, 3.263 Å; angles 90.00, 90.00, 104.62 degrees
Fractional positions:
Al  0.000  0.000  0.000
Tc  0.500  0.500  0.000
As  0.000  0.500  0.500
As  0.500  0.000  0.500

## Properties
Symmetry = Cmmm (65)
ρ = 7.1 g/cm3
DFT formation energy = 164 meV per atom
Total magnetization = 0.00 Bohr magnetons per cell

***

[11]
Here is an optimized crystal structure of AlTcAs from Alexandria via LeMat-Bulk. Energies are from PBE.

Cell lengths 4.190, 4.190, 3.179 Å; angles 90.00, 90.00, 120.00 degrees
Fractional positions:
Al  0.000  0.000  0.000
Tc  0.333  0.667  0.500
As  0.667  0.333  0.500

## Properties
Energy relative to the lowest polymorph listed for this composition = 263 meV/atom
Symmetry = P-6m2 (187)
ρ = 6.9 g/cm3
DFT formation energy = 24 meV per atom
Total magnetization = 0.00 Bohr magnetons per cell

***

[12]
Here is an optimized crystal structure of AlTcAs from Alexandria via LeMat-Bulk. Energies are from PBE.

Cell lengths 4.206, 4.206, 4.206 Å; angles 60.00, 60.00, 60.00 degrees
Fractional positions:
Al  0.000  0.000  0.000
Tc  0.750  0.750  0.750
As  0.500  0.500  0.500

## Properties
Energy relative to the lowest polymorph listed for this composition = 333 meV/atom
Symmetry = F-43m (216)
ρ = 6.3 g/cm3
DFT formation energy = 94 meV per atom
Total magnetization = 0.00 Bohr magnetons per cell

***

[13]
Here is an optimized crystal structure of AlTcAs2 from Alexandria via LeMat-Bulk. Energies are from PBE.

Cell lengths 7.512, 7.512, 7.512 Å; angles 25.29, 25.29, 25.29 degrees
Fractional positions:
Al  0.000  0.000  0.000
Tc  0.500  0.500  0.500
As  0.246  0.246  0.246
As  0.754  0.754  0.754

## Properties
Symmetry = R-3m (166)
ρ = 6.7 g/cm3
DFT formation energy = 0 meV per atom
Total magnetization = 0.00 Bohr magnetons per cell

***

[14]
Here is an optimized crystal structure of AlTc2As from Alexandria via LeMat-Bulk. Energies are from PBE.

Cell lengths 8.418, 8.418, 8.418 Å; angles 20.05, 20.05, 20.05 degrees
Fractional positions:
Al  0.000  0.000  0.000
Tc  0.252  0.252  0.252
Tc  0.501  0.501  0.501
As  0.757  0.757  0.757

## Properties
Energy relative to the lowest polymorph listed for this composition = 158 meV/atom
Symmetry = R3m (160)
ρ = 8.1 g/cm3
DFT formation energy = -52 meV per atom
Total magnetization = 0.00 Bohr magnetons per cell

***

[15]
Here is an optimized crystal structure of AlTc2As from Alexandria via LeMat-Bulk. Energies are from PBE.

Cell lengths 4.409, 4.409, 4.409 Å; angles 60.00, 60.00, 60.00 degrees
Fractional positions:
Al  0.000  0.000  0.000
Tc  0.250  0.250  0.250
Tc  0.500  0.500  0.500
As  0.750  0.750  0.750

## Properties
Energy relative to the lowest polymorph listed for this composition = 312 meV/atom
Symmetry = F-43m (216)
ρ = 8.2 g/cm3
DFT formation energy = 102 meV per atom
Total magnetization = 0.00 Bohr magnetons per cell

***

[16]
Here is an optimized crystal structure of AlTc2As from Alexandria via LeMat-Bulk. Energies are from PBE.

Cell lengths 4.936, 4.936, 4.936 Å; angles 135.39, 135.39, 64.93 degrees
Fractional positions:
Al  0.000  0.000  0.000
Tc  0.500  0.500  0.000
Tc  0.750  0.250  0.500
As  0.250  0.750  0.500

## Properties
Energy relative to the lowest polymorph listed for this composition = 257 meV/atom
Symmetry = I-4m2 (119)
ρ = 8.5 g/cm3
DFT formation energy = 47 meV per atom
Total magnetization = 0.00 Bohr magnetons per cell

***

[17]
Here is an optimized crystal structure of Al3TcAs from Alexandria via LeMat-Bulk. Energies are from PBE.

Cell lengths 4.756, 4.756, 4.756 Å; angles 90.00, 90.00, 90.00 degrees
Fractional positions:
Al  0.000  0.000  0.500
Al  0.000  0.500  0.000
Al  0.500  0.000  0.000
Tc  0.500  0.500  0.500
As  0.000  0.000  0.000

## Properties
Energy relative to the lowest polymorph listed for this composition = 631 meV/atom
Symmetry = Pm-3m (221)
ρ = 3.9 g/cm3
DFT formation energy = 1129 meV per atom
Total magnetization = 2.70 Bohr magnetons per cell

***

[18]
Here is an optimized crystal structure of AlTcAs2 from Alexandria via LeMat-Bulk. Energies are from PBE.

Cell lengths 3.183, 3.183, 6.959 Å; angles 90.00, 90.00, 90.00 degrees
Fractional positions:
Al  0.000  0.000  0.000
Tc  0.500  0.500  0.800
As  0.000  0.000  0.607
As  0.500  0.500  0.206

## Properties
Symmetry = P4mm (99)
ρ = 6.5 g/cm3
DFT formation energy = -126 meV per atom
Total magnetization = 0.00 Bohr magnetons per cell

***

[19]
Here is an optimized crystal structure of AlTc2As from Alexandria via LeMat-Bulk. Energies are from PBE.

Cell lengths 4.316, 4.316, 4.316 Å; angles 60.00, 60.00, 60.00 degrees
Fractional positions:
Al  0.000  0.000  0.000
Tc  0.250  0.250  0.250
Tc  0.750  0.750  0.750
As  0.500  0.500  0.500

## Properties
Energy relative to the lowest polymorph listed for this composition = 66 meV/atom
Symmetry = Fm-3m (225)
ρ = 8.7 g/cm3
DFT formation energy = -144 meV per atom
Total magnetization = 0.00 Bohr magnetons per cell

***

[20]
Here is an optimized crystal structure of AlTcAs2 from Alexandria via LeMat-Bulk. Energies are from PBE.

Cell lengths 4.567, 4.567, 4.810 Å; angles 96.16, 96.16, 40.62 degrees
Fractional positions:
Al  0.000  0.000  0.000
Tc  0.500  0.500  0.500
As  0.227  0.227  0.729
As  0.773  0.773  0.271

## Properties
Symmetry = C2/m (12)
ρ = 7.0 g/cm3
DFT formation energy = 9 meV per atom
Total magnetization = 0.00 Bohr magnetons per cell